Entry 1:
Below is a geometry-optimized ZrTeAu2 structure, with properties calculated at the PBEsol level. Values from VASP.

```
&SYSTEM
  ibrav = 0, nat = 4, ntyp = 3
/
ATOMIC_SPECIES
Zr 91.22 Zr.upf
Te 127.60 Te.upf
Au 196.97 Au.upf
ATOMIC_POSITIONS angstrom
Zr 0.000 0.000 0.000
Te 0.000 0.000 8.767
Au 0.000 0.000 4.486
Au 0.000 0.000 13.049
CELL_PARAMETERS angstrom
2.104 1.215 5.845
-2.104 1.215 5.845
0.000 -2.429 5.845
```

Summary:
V = 22.40 A^3/atom
VASP energy = -21.393 eV per formula unit
SG = No. 166
DOS(E_F) = 1.9 states/eV/cell

---

Entry 2:
Below is a geometry-optimized ZrTe4Au structure, with properties calculated at the PBEsol level. Values from VASP.

```
&SYSTEM
  ibrav = 0, nat = 6, ntyp = 3
/
ATOMIC_SPECIES
Zr 91.22 Zr.upf
Te 127.60 Te.upf
Au 196.97 Au.upf
ATOMIC_POSITIONS angstrom
Zr 0.000 0.000 0.000
Te 5.368 3.221 3.221
Te 3.221 5.368 3.221
Te 3.221 3.221 5.368
Te 5.368 5.368 5.368
Au 2.147 2.147 2.147
CELL_PARAMETERS angstrom
0.000 4.295 4.295
4.295 0.000 4.295
4.295 4.295 0.000
```

Summary:
V = 26.41 A^3/atom
VASP energy = -23.649 eV per formula unit
SG = No. 216
DOS(E_F) = 4.6 states/eV/cell

---

Entry 3:
Below is a geometry-optimized ZrTe2Au structure, with properties calculated at the PBEsol level. Values from VASP.

```
&SYSTEM
  ibrav = 0, nat = 4, ntyp = 3
/
ATOMIC_SPECIES
Zr 91.22 Zr.upf
Te 127.60 Te.upf
Au 196.97 Au.upf
ATOMIC_POSITIONS angstrom
Zr 0.000 0.000 0.000
Te 0.000 0.000 2.749
Te 1.891 1.891 5.574
Au 1.891 1.891 1.658
CELL_PARAMETERS angstrom
3.783 0.000 0.000
0.000 3.783 0.000
0.000 0.000 6.811
```

Summary:
V = 24.37 A^3/atom
VASP energy = -21.987 eV per formula unit
SG = No. 99
DOS(E_F) = 2.1 states/eV/cell

---

Entry 4:
Below is a geometry-optimized ZrTeAu3 structure, with properties calculated at the PBEsol level. Values from VASP.

```
&SYSTEM
  ibrav = 0, nat = 5, ntyp = 3
/
ATOMIC_SPECIES
Zr 91.22 Zr.upf
Te 127.60 Te.upf
Au 196.97 Au.upf
ATOMIC_POSITIONS angstrom
Zr 0.000 0.000 0.000
Te 2.558 2.558 2.558
Au 0.000 0.000 2.558
Au 0.000 2.558 0.000
Au 2.558 0.000 0.000
CELL_PARAMETERS angstrom
5.116 0.000 0.000
0.000 5.116 0.000
0.000 0.000 5.116
```

Summary:
V = 26.78 A^3/atom
VASP energy = -20.266 eV per formula unit
SG = No. 221
DOS(E_F) = 5.4 states/eV/cell